Record 1
The following is a DFT calculation (PBE-GGA) of crystalline K2Zn2CdSe4 at its relaxed geometry.

Properties
The total energy is -3.04 eV per atom.

a = 8.419 Å, b = 8.419 Å, c = 7.742 Å
α = 108.61°, β = 108.61°, γ = 27.92°
Sites, in units of the cell vectors:
1 K 0.124 0.124 0.036
2 K 0.876 0.876 0.964
3 Zn 0.327 0.327 0.515
4 Zn 0.673 0.673 0.485
5 Cd 0.000 0.000 0.500
6 Se 0.215 0.215 0.689
7 Se 0.475 0.475 0.726
8 Se 0.525 0.525 0.274
9 Se 0.785 0.785 0.311

***

Record 2
The following is a DFT calculation (PBE-GGA) of crystalline K2Cd2Si at its relaxed geometry.

Properties
As for the distance to the lowest polymorph of the same formula: 0 meV/atom.

a = 7.349 Å, b = 7.349 Å, c = 5.758 Å
α = 90.00°, β = 90.00°, γ = 90.00°
Sites, in units of the cell vectors:
1 K 0.182 0.318 0.000
2 K 0.318 0.818 0.000
3 K 0.682 0.182 0.000
4 K 0.818 0.682 0.000
5 Cd 0.144 0.644 0.500
6 Cd 0.356 0.144 0.500
7 Cd 0.644 0.856 0.500
8 Cd 0.856 0.356 0.500
9 Si 0.000 0.000 0.500
10 Si 0.500 0.500 0.500

***

Record 3
The following is a DFT calculation (PBE-GGA) of crystalline KCdSi2 at its relaxed geometry.

Properties
The total energy is -2.89 eV per atom.

a = 3.810 Å, b = 6.121 Å, c = 9.489 Å
α = 90.00°, β = 90.00°, γ = 90.00°
Sites, in units of the cell vectors:
1 K 0.000 0.000 0.000
2 K 0.500 0.500 0.500
3 Cd 0.000 0.500 0.179
4 Cd 0.500 0.000 0.679
5 Si 0.000 0.000 0.439
6 Si 0.000 0.500 0.799
7 Si 0.500 0.000 0.299
8 Si 0.500 0.500 0.939

***

Record 4
The following is a DFT calculation (PBE-GGA) of crystalline KCdSi2 at its relaxed geometry.

Properties
The total energy is -2.61 eV per atom.

a = 4.435 Å, b = 4.435 Å, c = 4.583 Å
α = 90.00°, β = 90.00°, γ = 90.00°
Sites, in units of the cell vectors:
1 K 0.000 0.000 0.000
2 Cd 0.500 0.500 0.000
3 Si 0.000 0.500 0.500
4 Si 0.500 0.000 0.500

***

Record 5
The following is a DFT calculation (PBE-GGA) of crystalline KCdSi2 at its relaxed geometry.

Properties
The total energy is -2.61 eV per atom.

a = 3.174 Å, b = 3.174 Å, c = 30.348 Å
α = 90.00°, β = 90.00°, γ = 120.00°
Sites, in units of the cell vectors:
1 K 0.000 0.000 0.000
2 K 0.333 0.667 0.667
3 K 0.667 0.333 0.333
4 Cd 0.000 0.000 0.500
5 Cd 0.333 0.667 0.167
6 Cd 0.667 0.333 0.833
7 Si 0.000 0.000 0.242
8 Si 0.000 0.000 0.758
9 Si 0.333 0.667 0.425
10 Si 0.333 0.667 0.908
11 Si 0.667 0.333 0.092
12 Si 0.667 0.333 0.575

***

Record 6
The following is a DFT calculation (PBE-GGA) of crystalline KCdSi2 at its relaxed geometry.

Properties
The total energy is -2.99 eV per atom.

a = 3.420 Å, b = 3.420 Å, c = 8.198 Å
α = 90.00°, β = 90.00°, γ = 90.00°
Sites, in units of the cell vectors:
1 K 0.000 0.000 0.000
2 Cd 0.500 0.500 0.668
3 Si 0.000 0.000 0.411
4 Si 0.500 0.500 0.318

***

Record 7
The following is a DFT calculation (PBE-GGA) of crystalline K2CdSi2 at its relaxed geometry.

Properties
As for the distance to the lowest polymorph of the same formula: 114 meV/atom.

a = 6.321 Å, b = 6.321 Å, c = 9.773 Å
α = 90.00°, β = 90.00°, γ = 90.00°
Sites, in units of the cell vectors:
1 K 0.000 0.500 0.250
2 K 0.000 0.500 0.750
3 K 0.500 0.000 0.250
4 K 0.500 0.000 0.750
5 Cd 0.000 0.000 0.000
6 Cd 0.500 0.500 0.500
7 Si 0.000 0.000 0.391
8 Si 0.000 0.000 0.609
9 Si 0.500 0.500 0.109
10 Si 0.500 0.500 0.891

***

Record 8
The following is a DFT calculation (PBE-GGA) of crystalline K2CdSi at its relaxed geometry.

Properties
The total energy is -1.94 eV per atom.

a = 7.629 Å, b = 7.629 Å, c = 7.629 Å
α = 90.00°, β = 90.00°, γ = 90.00°
Sites, in units of the cell vectors:
1 K 0.000 0.000 0.000
2 K 0.000 0.500 0.500
3 K 0.250 0.250 0.250
4 K 0.250 0.750 0.750
5 K 0.500 0.000 0.500
6 K 0.500 0.500 0.000
7 K 0.750 0.250 0.750
8 K 0.750 0.750 0.250
9 Cd 0.000 0.000 0.500
10 Cd 0.000 0.500 0.000
11 Cd 0.500 0.000 0.000
12 Cd 0.500 0.500 0.500
13 Si 0.250 0.250 0.750
14 Si 0.250 0.750 0.250
15 Si 0.750 0.250 0.250
16 Si 0.750 0.750 0.750

***

Record 9
The following is a DFT calculation (PBE-GGA) of crystalline KCd3Si at its relaxed geometry.

Properties
As for the distance to the lowest polymorph of the same formula: 0 meV/atom.

a = 5.412 Å, b = 5.412 Å, c = 5.412 Å
α = 90.00°, β = 90.00°, γ = 90.00°
Sites, in units of the cell vectors:
1 K 0.000 0.000 0.000
2 Cd 0.000 0.500 0.500
3 Cd 0.500 0.000 0.500
4 Cd 0.500 0.500 0.000
5 Si 0.500 0.500 0.500

***

Record 10
The following is a DFT calculation (PBE-GGA) of crystalline K2CdSi2 at its relaxed geometry.

Properties
As for the distance to the lowest polymorph of the same formula: 103 meV/atom.

a = 9.639 Å, b = 9.639 Å, c = 3.399 Å
α = 90.00°, β = 90.00°, γ = 90.00°
Sites, in units of the cell vectors:
1 K 0.207 0.293 0.000
2 K 0.293 0.793 0.000
3 K 0.707 0.207 0.000
4 K 0.793 0.707 0.000
5 Cd 0.000 0.000 0.500
6 Cd 0.500 0.500 0.500
7 Si 0.082 0.582 0.500
8 Si 0.418 0.082 0.500
9 Si 0.582 0.918 0.500
10 Si 0.918 0.418 0.500

***

Record 11
The following is a DFT calculation (PBE-GGA) of crystalline K2CdSi at its relaxed geometry.

Properties
The total energy is -1.78 eV per atom.

a = 3.606 Å, b = 5.406 Å, c = 6.375 Å
α = 90.00°, β = 91.62°, γ = 90.00°
Sites, in units of the cell vectors:
1 K 0.006 0.000 0.264
2 K 0.994 0.000 0.736
3 Cd 0.500 0.500 0.000
4 Si 0.500 0.500 0.500

***

Record 12
The following is a DFT calculation (PBE-GGA) of crystalline K2CdSi2 at its relaxed geometry.

Properties
As for the distance to the lowest polymorph of the same formula: 0 meV/atom.

a = 3.548 Å, b = 3.548 Å, c = 23.249 Å
α = 90.00°, β = 90.00°, γ = 90.00°
Sites, in units of the cell vectors:
1 K 0.000 0.000 0.121
2 K 0.000 0.000 0.879
3 K 0.500 0.500 0.379
4 K 0.500 0.500 0.621
5 Cd 0.000 0.000 0.500
6 Cd 0.500 0.500 0.000
7 Si 0.000 0.500 0.250
8 Si 0.000 0.500 0.750
9 Si 0.500 0.000 0.250
10 Si 0.500 0.000 0.750